No. 1
VASP calculation (PBE) on an optimized crystal structure of Li7TlHg3.

Output
- Energy of formation from the pure elements: -18.7 kJ per mole of atoms
- DOS at the Fermi energy: 7.1 states/eV/cell
- Calculated density: 6.38 g/cm3

Cell lengths 13.9722, 13.9722, 10.5200 Å; angles 90.00, 90.00, 167.49 degrees
Sites, in units of the cell vectors:
Li 0.0456 0.9544 0.7500
Li 0.0480 0.9520 0.0123
Li 0.0480 0.9520 0.4877
Li 0.1405 0.8595 0.1156
Li 0.1405 0.8595 0.3844
Li 0.2099 0.7901 0.5951
Li 0.2099 0.7901 0.9049
Li 0.7901 0.2099 0.0951
Li 0.7901 0.2099 0.4049
Li 0.8595 0.1405 0.6156
Li 0.8595 0.1405 0.8844
Li 0.9520 0.0480 0.5123
Li 0.9520 0.0480 0.9877
Li 0.9544 0.0456 0.2500
Tl 0.4506 0.5494 0.7500
Tl 0.5494 0.4506 0.2500
Hg 0.2899 0.7101 0.7500
Hg 0.3780 0.6220 0.1093
Hg 0.3780 0.6220 0.3907
Hg 0.6220 0.3780 0.6093
Hg 0.6220 0.3780 0.8907
Hg 0.7101 0.2899 0.2500


No. 2
VASP calculation (PBE) on an optimized crystal structure of Ac2Be3AlGe4.

Output
- Energy of formation from the pure elements: -29.3 kJ per mole of atoms
- DOS at the Fermi energy: 3.3 states/eV/cell
- Calculated density: 6.95 g/cm3

Cell lengths 4.4383, 4.4383, 9.6925 Å; angles 90.00, 90.00, 90.00 degrees
Sites, in units of the cell vectors:
Ac 0.0000 0.5000 0.2426
Ac 0.5000 0.0000 0.7574
Be 0.0000 0.5000 0.8848
Be 0.5000 0.0000 0.1152
Be 0.5000 0.5000 0.5000
Al 0.0000 0.0000 0.5000
Ge 0.0000 0.0000 0.0000
Ge 0.0000 0.5000 0.6355
Ge 0.5000 0.0000 0.3645
Ge 0.5000 0.5000 0.0000


No. 3
VASP calculation (PBE) on an optimized crystal structure of Tl12Te3H5.

Output
- Total energy: -2.6154 eV/atom
- DOS at the Fermi energy: 30.3 states/eV/cell
- Calculated density: 8.26 g/cm3

Cell lengths 14.3705, 14.3705, 14.3705 Å; angles 109.47, 109.47, 109.47 degrees
Sites, in units of the cell vectors:
Tl 0.0089 0.1942 0.1035
Tl 0.0089 0.3147 0.9054
Tl 0.0907 0.6942 0.6853
Tl 0.0907 0.8965 0.4054
Tl 0.0946 0.6035 0.4093
Tl 0.0946 0.9911 0.6853
Tl 0.1035 0.0089 0.1942
Tl 0.1035 0.5946 0.9093
Tl 0.1853 0.1942 0.5907
Tl 0.1853 0.4911 0.5946
Tl 0.1942 0.1035 0.0089
Tl 0.1942 0.5907 0.1853
Tl 0.3058 0.3147 0.9093
Tl 0.3058 0.4911 0.3965
Tl 0.3147 0.9054 0.0089
Tl 0.3147 0.9093 0.3058
Tl 0.3965 0.3058 0.4911
Tl 0.3965 0.5907 0.9054
Tl 0.4054 0.0907 0.8965
Tl 0.4054 0.8147 0.5089
Tl 0.4093 0.0946 0.6035
Tl 0.4093 0.8147 0.8058
Tl 0.4911 0.3965 0.3058
Tl 0.4911 0.5946 0.1853
Tl 0.5089 0.4054 0.8147
Tl 0.5089 0.6035 0.6942
Tl 0.5907 0.1853 0.1942
Tl 0.5907 0.9054 0.3965
Tl 0.5946 0.1853 0.4911
Tl 0.5946 0.9093 0.1035
Tl 0.6035 0.4093 0.0946
Tl 0.6035 0.6942 0.5089
Tl 0.6853 0.0907 0.6942
Tl 0.6853 0.0946 0.9911
Tl 0.6942 0.5089 0.6035
Tl 0.6942 0.6853 0.0907
Tl 0.8058 0.4093 0.8147
Tl 0.8058 0.8965 0.9911
Tl 0.8147 0.5089 0.4054
Tl 0.8147 0.8058 0.4093
Tl 0.8965 0.4054 0.0907
Tl 0.8965 0.9911 0.8058
Tl 0.9054 0.0089 0.3147
Tl 0.9054 0.3965 0.5907
Tl 0.9093 0.1035 0.5946
Tl 0.9093 0.3058 0.3147
Tl 0.9911 0.6853 0.0946
Tl 0.9911 0.8058 0.8965
Te 0.1250 0.2500 0.3750
Te 0.1250 0.3750 0.7500
Te 0.2500 0.3750 0.1250
Te 0.2500 0.8750 0.6250
Te 0.3750 0.1250 0.2500
Te 0.3750 0.7500 0.1250
Te 0.6250 0.2500 0.8750
Te 0.6250 0.8750 0.7500
Te 0.7500 0.1250 0.3750
Te 0.7500 0.6250 0.8750
Te 0.8750 0.6250 0.2500
Te 0.8750 0.7500 0.6250
H 0.0000 0.0000 0.0000
H 0.0000 0.0000 0.5000
H 0.0000 0.5000 0.0000
H 0.0000 0.5000 0.5000
H 0.1250 0.7500 0.8750
H 0.1250 0.8750 0.2500
H 0.2500 0.1250 0.8750
H 0.2500 0.6250 0.3750
H 0.3750 0.2500 0.6250
H 0.3750 0.6250 0.7500
H 0.5000 0.0000 0.0000
H 0.5000 0.0000 0.5000
H 0.5000 0.5000 0.0000
H 0.5000 0.5000 0.5000
H 0.6250 0.3750 0.2500
H 0.6250 0.7500 0.3750
H 0.7500 0.3750 0.6250
H 0.7500 0.8750 0.1250
H 0.8750 0.1250 0.7500
H 0.8750 0.2500 0.1250